This record from Alexandria via LeMat-Bulk describes a crystal of TeSe2 relaxed with PBEsol. The functional is meta-GGA SCAN.

The structure in POSCAR format:
```
TeSe2
1.0
-2.512 -2.771 0.538
0.937 0.135 5.074
-4.749 6.508 -1.922
Te Se
2 4
Direct
0.328 0.578 0.656
0.672 0.422 0.344
0.845 0.095 0.689
0.155 0.905 0.311
0.001 0.251 0.003
0.999 0.749 0.997
```

## Properties
- total moment (μB/f.u.) = 0.0
- formation energy without anion corrections (meV/atom) = 256.8
- relative energy among the computed polymorphs (eV/atom) = 0.286
- density (g/cm3) = 6.36

***

This record from Alexandria via LeMat-Bulk describes a crystal of Li4Ti3Cr5O16 relaxed with PBEsol. The functional is meta-GGA SCAN.

The structure in POSCAR format:
```
Li4Ti3Cr5O16
1.0
-3.891 0.363 -4.230
-1.500 -4.756 -2.881
-6.851 -1.564 6.206
Ti O Li Cr
3 16 4 5
Direct
0.339 0.833 0.214
0.833 0.339 0.214
0.170 0.170 0.715
0.169 0.669 0.102
0.479 0.479 0.836
0.998 0.998 0.809
0.332 0.332 0.601
0.664 0.664 0.100
0.960 0.522 0.343
0.834 0.333 0.601
0.522 0.522 0.341
0.041 0.481 0.842
0.832 0.832 0.604
0.000 0.000 0.312
0.333 0.834 0.601
0.481 0.041 0.842
0.167 0.167 0.102
0.522 0.960 0.343
0.669 0.169 0.102
0.993 0.993 0.995
0.335 0.335 0.395
0.997 0.997 0.498
0.667 0.667 0.890
0.336 0.336 0.983
0.659 0.170 0.711
0.170 0.659 0.711
0.669 0.669 0.489
0.828 0.828 0.213
```

## Properties
- total moment (μB/f.u.) = 14.0
- formation energy without anion corrections (meV/atom) = -2737.7
- density (g/cm3) = 4.21

***

This record from Alexandria via LeMat-Bulk describes a crystal of HfTcO2 relaxed with PBEsol. The functional is meta-GGA SCAN.

The structure in POSCAR format:
```
HfTcO2
1.0
3.268 0.000 0.000
1.634 2.830 0.000
1.634 0.943 5.804
Hf O Tc
1 2 1
Direct
0.500 0.500 0.500
0.117 0.117 0.648
0.883 0.883 0.352
0.000 0.000 0.000
```

## Properties
- total moment (μB/f.u.) = 1.6
- formation energy without anion corrections (meV/atom) = -1939.0
- relative energy among the computed polymorphs (eV/atom) = 0.000
- density (g/cm3) = 9.54

***

This record from Alexandria via LeMat-Bulk describes a crystal of Tl3CS relaxed with PBEsol. The functional is meta-GGA SCAN.

The structure in POSCAR format:
```
Tl3CS
1.0
5.706 0.000 0.000
0.000 5.706 0.000
0.000 0.000 5.706
S Tl C
1 3 1
Direct
0.000 0.000 0.000
0.000 0.500 0.000
0.000 0.000 0.500
0.500 0.000 0.000
0.500 0.500 0.500
```

## Properties
- total moment (μB/f.u.) = 2.7
- formation energy without anion corrections (meV/atom) = 1403.6
- density (g/cm3) = 5.88

***

This record from Alexandria via LeMat-Bulk describes a crystal of Sc2Rh relaxed with PBEsol. The functional is meta-GGA SCAN.

The structure in POSCAR format:
```
Sc2Rh
1.0
-1.096 2.825 0.743
-2.660 -1.839 3.068
4.115 1.304 1.111
Sc Rh
2 1
Direct
0.289 0.333 0.667
0.711 0.667 0.333
0.000 0.000 0.000
```

## Properties
- total moment (μB/f.u.) = 0.0
- density (g/cm3) = 5.96
- energy of formation from the pure elements (eV/f.u.) = -1.81

***

This record from Alexandria via LeMat-Bulk describes a crystal of MoIr2RuF relaxed with PBEsol. The functional is meta-GGA SCAN.

The structure in POSCAR format:
```
MoIr2RuF
1.0
-2.603 -0.318 3.825
2.428 -3.716 1.344
2.977 2.761 2.255
Ir Ru Mo F
2 1 1 1
Direct
0.000 0.500 0.000
0.500 0.000 0.000
0.000 0.000 0.500
0.000 0.000 0.000
0.500 0.500 0.500
```

## Properties
- total moment (μB/f.u.) = 2.1
- formation energy without anion corrections (meV/atom) = 1762.1
- relative energy among the computed polymorphs (eV/atom) = 0.529
- density (g/cm3) = 9.98

***

This record from Alexandria via LeMat-Bulk describes a crystal of AlCoSi2 relaxed with PBEsol. The functional is meta-GGA SCAN.

The structure in POSCAR format:
```
AlCoSi2
1.0
2.669 0.000 0.000
0.000 2.669 0.000
0.000 0.000 7.103
Si Co Al
2 1 1
Direct
0.500 0.500 0.243
0.000 0.000 0.958
0.500 0.500 0.763
0.000 0.000 0.535
```

## Properties
- total moment (μB/f.u.) = 0.0
- formation energy without anion corrections (meV/atom) = -47.4
- density (g/cm3) = 4.66

***

This record from Alexandria via LeMat-Bulk describes a crystal of AsPb3 relaxed with PBEsol. The functional is meta-GGA SCAN.

The structure in POSCAR format:
```
AsPb3
1.0
3.984 0.000 0.000
1.992 3.450 0.000
1.992 1.150 8.413
As Pb
1 3
Direct
0.000 0.000 0.000
0.500 0.500 0.500
0.736 0.736 0.791
0.264 0.264 0.209
```

## Properties
- total moment (μB/f.u.) = 0.0
- relative energy among the computed polymorphs (eV/atom) = 0.000
- density (g/cm3) = 10.00
- energy of formation from the pure elements (eV/f.u.) = 0.25

***

This record from Alexandria via LeMat-Bulk describes a crystal of Si2AgCl relaxed with PBEsol. The functional is meta-GGA SCAN.

The structure in POSCAR format:
```
Si2AgCl
1.0
-0.168 -4.481 -0.833
3.834 -2.296 -0.913
1.673 -2.951 3.049
Si Ag Cl
2 1 1
Direct
0.250 0.250 0.250
0.750 0.750 0.750
0.000 0.000 0.000
0.500 0.500 0.500
```

## Properties
- total moment (μB/f.u.) = 0.0
- formation energy without anion corrections (meV/atom) = 774.5
- density (g/cm3) = 4.94

***

This record from Alexandria via LeMat-Bulk describes a crystal of LaTlAg3 relaxed with PBEsol. The functional is meta-GGA SCAN.

The structure in POSCAR format:
```
LaTlAg3
1.0
-0.306 -4.905 1.433
3.855 0.720 3.290
-3.354 1.276 3.651
Ag Tl La
3 1 1
Direct
0.500 0.000 0.000
0.000 0.500 0.000
0.000 0.000 0.500
0.000 0.000 0.000
0.500 0.500 0.500
```

## Properties
- total moment (μB/f.u.) = 0.0
- density (g/cm3) = 8.25
- energy of formation from the pure elements (eV/f.u.) = 1.34

***

This record from Alexandria via LeMat-Bulk describes a crystal of CuW2I relaxed with PBEsol. The functional is meta-GGA SCAN.

The structure in POSCAR format:
```
CuW2I
1.0
4.469 0.000 0.000
2.235 3.870 0.000
2.235 1.290 3.649
W Cu I
2 1 1
Direct
0.250 0.250 0.250
0.750 0.750 0.750
0.000 0.000 0.000
0.500 0.500 0.500
```

## Properties
- total moment (μB/f.u.) = 0.0
- formation energy without anion corrections (meV/atom) = 1373.5
- density (g/cm3) = 14.68

***

This record from Alexandria via LeMat-Bulk describes a crystal of Zn2CoSi relaxed with PBEsol. The functional is meta-GGA SCAN.

The structure in POSCAR format:
```
Zn2CoSi
1.0
3.230 0.000 0.000
0.000 3.230 0.000
0.000 0.000 4.825
Co Zn Si
1 2 1
Direct
0.500 0.500 0.000
0.000 0.000 0.757
0.000 0.000 0.243
0.500 0.500 0.500
```

## Properties
- total moment (μB/f.u.) = 1.1
- formation energy without anion corrections (meV/atom) = 62.3
- density (g/cm3) = 7.18

***

This record from Alexandria via LeMat-Bulk describes a crystal of Sm5Sn3 relaxed with PBEsol. The functional is meta-GGA SCAN.

The structure in POSCAR format:
```
Sm5Sn3
1.0
-0.963 5.368 -3.738
0.376 -5.122 -7.452
-7.935 1.437 4.108
Sm Sn
10 6
Direct
0.000 0.333 0.667
0.750 0.000 0.760
0.250 0.240 0.000
0.750 0.760 0.000
0.000 0.667 0.333
0.250 0.000 0.240
0.500 0.333 0.667
0.250 0.760 0.760
0.500 0.667 0.333
0.750 0.240 0.240
0.750 0.000 0.395
0.250 0.000 0.605
0.750 0.605 0.605
0.250 0.395 0.395
0.250 0.605 0.000
0.750 0.395 0.000
```

## Properties
- total moment (μB/f.u.) = 0.0
- density (g/cm3) = 7.85
- energy of formation from the pure elements (eV/f.u.) = -6.61

***

This record from Alexandria via LeMat-Bulk describes a crystal of YCoSe relaxed with PBEsol. The functional is meta-GGA SCAN.

The structure in POSCAR format:
```
YCoSe
1.0
-2.451 1.941 -1.109
-2.128 -2.522 0.336
1.338 1.704 4.965
Co Y Se
1 1 1
Direct
0.975 0.975 0.950
0.659 0.659 0.319
0.365 0.365 0.731
```

## Properties
- total moment (μB/f.u.) = 2.0
- formation energy without anion corrections (meV/atom) = -525.6
- density (g/cm3) = 7.01

***

This record from Alexandria via LeMat-Bulk describes a crystal of Li3H24RuCl6O12 relaxed with PBEsol. The functional is meta-GGA SCAN.

The structure in POSCAR format:
```
Li3H24RuCl6O12
1.0
9.679 0.000 0.000
4.840 8.382 0.000
4.840 2.794 11.047
O H Cl Li Ru
24 48 12 6 2
Direct
0.893 0.604 0.620
0.354 0.570 0.874
0.607 0.617 0.880
0.604 0.883 0.620
0.930 0.146 0.626
0.617 0.896 0.880
0.393 0.383 0.120
0.896 0.607 0.880
0.383 0.104 0.120
0.117 0.107 0.380
0.883 0.893 0.620
0.070 0.854 0.374
0.396 0.117 0.380
0.104 0.393 0.120
0.430 0.797 0.126
0.146 0.297 0.626
0.703 0.070 0.374
0.297 0.930 0.626
0.570 0.203 0.874
0.646 0.430 0.126
0.854 0.703 0.374
0.203 0.354 0.874
0.107 0.396 0.380
0.797 0.646 0.126
0.063 0.898 0.288
0.244 0.664 0.877
0.500 0.885 0.619
0.496 0.385 0.119
0.602 0.437 0.212
0.937 0.102 0.712
0.924 0.687 0.888
0.751 0.063 0.288
0.336 0.785 0.123
0.398 0.563 0.788
0.499 0.076 0.112
0.500 0.115 0.381
0.749 0.602 0.212
0.996 0.500 0.619
0.885 0.996 0.619
0.615 0.000 0.881
0.424 0.001 0.388
0.813 0.576 0.612
0.576 0.999 0.612
0.687 0.501 0.888
0.898 0.751 0.288
0.251 0.398 0.788
0.256 0.285 0.623
0.004 0.500 0.381
0.437 0.749 0.212
0.187 0.424 0.388
0.076 0.313 0.112
0.249 0.937 0.712
0.999 0.813 0.612
0.313 0.499 0.112
0.785 0.756 0.123
0.000 0.496 0.119
0.215 0.244 0.877
0.385 0.000 0.119
0.501 0.924 0.888
0.285 0.836 0.623
0.563 0.251 0.788
0.744 0.715 0.377
0.756 0.336 0.123
0.115 0.004 0.381
0.102 0.249 0.712
0.001 0.187 0.388
0.000 0.504 0.881
0.164 0.744 0.377
0.504 0.615 0.881
0.715 0.164 0.377
0.664 0.215 0.877
0.836 0.256 0.623
0.992 0.132 0.127
0.008 0.868 0.873
0.492 0.249 0.627
0.251 0.008 0.873
0.751 0.368 0.373
0.249 0.632 0.627
0.132 0.749 0.127
0.749 0.992 0.127
0.868 0.251 0.873
0.508 0.751 0.373
0.632 0.492 0.627
0.368 0.508 0.373
0.250 0.250 0.250
0.664 0.664 0.008
0.164 0.164 0.508
0.836 0.836 0.492
0.750 0.750 0.750
0.336 0.336 0.992
0.500 0.500 0.500
0.000 0.000 0.000
```

## Properties
- total moment (μB/f.u.) = 1.0
- density (g/cm3) = 2.04
- final energy (Ha/atom) = -0.240

***

This record from Alexandria via LeMat-Bulk describes a crystal of As2SeBrCl relaxed with PBEsol. The functional is meta-GGA SCAN.

The structure in POSCAR format:
```
As2SeBrCl
1.0
4.932 0.000 0.000
0.000 4.958 0.000
0.000 0.000 4.958
Se Br Cl As
1 1 1 2
Direct
0.500 0.000 0.000
0.500 0.500 0.500
0.000 0.000 0.000
0.000 0.000 0.500
0.000 0.500 0.000
```

## Properties
- total moment (μB/f.u.) = 0.9
- formation energy without anion corrections (meV/atom) = 1134.7
- relative energy among the computed polymorphs (eV/atom) = 0.000
- density (g/cm3) = 4.71

***

This record from Alexandria via LeMat-Bulk describes a crystal of LiV2O3F3 relaxed with PBEsol. The functional is meta-GGA SCAN.

The structure in POSCAR format:
```
LiV2O3F3
1.0
4.982 0.024 0.002
-2.344 4.391 0.011
-2.308 -1.474 4.385
F V O Li
3 2 3 1
Direct
0.499 0.645 0.756
0.501 0.380 0.237
0.148 0.765 0.264
0.994 0.488 0.522
0.992 0.020 0.988
0.907 0.251 0.751
0.057 0.825 0.734
0.906 0.153 0.256
0.585 0.803 0.345
```

## Properties
- total moment (μB/f.u.) = 2.0
- formation energy without anion corrections (meV/atom) = -2820.1
- density (g/cm3) = 3.69

***

This record from Alexandria via LeMat-Bulk describes a crystal of Sr3GeBi relaxed with PBEsol. The functional is meta-GGA SCAN.

The structure in POSCAR format:
```
Sr3GeBi
1.0
-1.412 5.485 1.409
-5.650 -1.462 0.030
0.381 -1.357 5.664
Sr Ge Bi
3 1 1
Direct
0.500 0.000 0.000
0.000 0.000 0.500
0.000 0.500 0.000
0.000 0.000 0.000
0.500 0.500 0.500
```

## Properties
- total moment (μB/f.u.) = 0.0
- density (g/cm3) = 4.55
- energy of formation from the pure elements (eV/f.u.) = -2.56

***

This record from Alexandria via LeMat-Bulk describes a crystal of MgWOF2 relaxed with PBEsol. The functional is meta-GGA SCAN.

The structure in POSCAR format:
```
MgWOF2
1.0
-1.434 1.709 -3.097
-2.851 -3.161 -0.424
-2.755 2.154 2.464
W F Mg O
1 2 1 1
Direct
0.000 0.000 0.000
0.000 0.500 0.000
0.000 0.000 0.500
0.500 0.500 0.500
0.500 0.000 0.000
```

## Properties
- total moment (μB/f.u.) = 0.3
- formation energy without anion corrections (meV/atom) = -1246.3
- density (g/cm3) = 6.23

***

This record from Alexandria via LeMat-Bulk describes a crystal of MnAgSe2 relaxed with PBEsol. The functional is meta-GGA SCAN.

The structure in POSCAR format:
```
MnAgSe2
1.0
3.403 0.000 0.000
1.702 2.948 0.000
1.702 0.983 7.777
Se Mn Ag
2 1 1
Direct
0.893 0.893 0.321
0.107 0.107 0.679
0.500 0.500 0.500
0.000 0.000 0.000
```

## Properties
- total moment (μB/f.u.) = 3.3
- formation energy without anion corrections (meV/atom) = -360.0
- density (g/cm3) = 6.83